No. 1
Ba3RhPb after structural relaxation. Source: the Alexandria database, functional GGA-PBE.

Lattice parameters (Å, degrees): 5.935 5.935 5.935 90.00 90.00 90.00
Positions (direct):
Pb1 0.500 0.500 0.500
Ba1 0.000 0.000 0.500
Ba2 0.000 0.500 0.000
Rh1 0.000 0.000 0.000
Ba3 0.500 0.000 0.000

Computed properties:
Spin magnetization (μB/f.u.): 0.000
D(E_F) (states/eV/cell): 6.8
Formation energy from the elements (eV per formula unit): -1.3
Polymorph energy (0 for the lowest one) (meV/atom): 33
Space-group type: Pm-3m (221)
DFT total energy (eV per atom): -3.63

=====

No. 2
CaScTlI6 after structural relaxation. Source: the Alexandria database, functional GGA-PBE.

Lattice parameters (Å, degrees): 7.842 7.842 15.019 90.00 90.00 120.00
Positions (direct):
Ca1 0.333 0.667 0.250
Tl1 0.000 0.000 0.500
I1 0.644 0.622 0.136
Tl2 0.000 0.000 0.000
I2 0.022 0.378 0.636
I3 0.622 0.978 0.864
I4 0.356 0.978 0.636
I5 0.978 0.356 0.136
I6 0.644 0.022 0.364
Sc1 0.333 0.667 0.750
Ca2 0.667 0.333 0.750
I7 0.978 0.622 0.364
I8 0.356 0.378 0.864
I9 0.378 0.356 0.364
I10 0.022 0.644 0.864
I11 0.622 0.644 0.636
Sc2 0.667 0.333 0.250
I12 0.378 0.022 0.136

Computed properties:
Spin magnetization (μB/f.u.): 0.000
D(E_F) (states/eV/cell): 0.0
Energy relative to the elements, uncorrected (meV/atom): -1224
Space-group type: P-31c (163)
DFT total energy (eV per atom): -3.45

=====

No. 3
Pr2SnPd after structural relaxation. Source: the Alexandria database, functional GGA-PBE.

Lattice parameters (Å, degrees): 3.936 3.936 10.336 79.02 79.02 60.00
Positions (direct):
Pr1 0.106 0.106 0.681
Pd1 0.500 0.500 0.500
Sn1 0.000 0.000 0.000
Pr2 0.894 0.894 0.319

Computed properties:
Spin magnetization (μB/f.u.): 0.000
D(E_F) (states/eV/cell): 3.1
Formation energy from the elements (eV per formula unit): -0.8
Space-group type: R-3m (166)
DFT total energy (eV per atom): -4.89

=====

No. 4
ReSiB3 after structural relaxation. Source: the Alexandria database, functional GGA-PBE.

Lattice parameters (Å, degrees): 4.142 4.142 4.142 90.00 90.00 90.00
Positions (direct):
Re1 0.000 0.000 0.000
Si1 0.500 0.500 0.500
B1 0.000 0.000 0.500
B2 0.500 0.000 0.000
B3 0.000 0.500 0.000

Computed properties:
Spin magnetization (μB/f.u.): 0.000
D(E_F) (states/eV/cell): 0.5
Energy relative to the elements, uncorrected (meV/atom): 1286
Polymorph energy (0 for the lowest one) (meV/atom): 0
Space-group type: Pm-3m (221)
DFT total energy (eV per atom): -6.30

=====

No. 5
Tb3Dy6Ho2Zr after structural relaxation. Source: the Alexandria database, functional GGA-PBE.

Lattice parameters (Å, degrees): 6.076 6.076 11.621 94.96 94.96 119.91
Positions (direct):
Dy1 0.755 0.755 0.244
Zr1 0.000 0.000 0.000
Tb1 0.834 0.166 0.500
Tb2 0.166 0.834 0.500
Dy2 0.409 0.081 0.244
Dy3 0.245 0.245 0.756
Ho1 0.333 0.667 0.000
Dy4 0.081 0.409 0.244
Ho2 0.667 0.333 0.000
Tb3 0.500 0.500 0.500
Dy5 0.919 0.591 0.756
Dy6 0.591 0.919 0.756

Computed properties:
Spin magnetization (μB/f.u.): 0.000
D(E_F) (states/eV/cell): 14.6
Formation energy from the elements (eV per formula unit): 0.5
Space-group type: C2/m (12)
DFT total energy (eV per atom): -4.89

=====

No. 6
DyTm2CrN4 after structural relaxation. Source: the Alexandria database, functional GGA-PBE.

Lattice parameters (Å, degrees): 3.330 5.872 11.463 90.00 90.00 106.47
Positions (direct):
Tm1 0.631 0.262 0.043
Dy1 0.892 0.783 0.250
N1 0.266 0.532 0.371
N2 0.564 0.128 0.250
N3 0.266 0.532 0.129
N4 0.734 0.468 0.871
Dy2 0.108 0.217 0.750
N5 0.436 0.872 0.750
Tm2 0.369 0.738 0.543
Tm3 0.631 0.262 0.457
Tm4 0.369 0.738 0.957
N6 0.000 0.000 0.500
N7 0.734 0.468 0.629
Cr1 0.843 0.686 0.750
Cr2 0.157 0.314 0.250
N8 0.000 0.000 0.000

Computed properties:
Spin magnetization (μB/f.u.): 1.990
D(E_F) (states/eV/cell): 6.9
Energy relative to the elements, uncorrected (meV/atom): -1298
Space-group type: Cmcm (63)
DFT total energy (eV per atom): -8.36